6
Lattice="0.000 3.765 3.765 3.765 0.000 3.765 3.765 3.765 0.000" Properties=species:S:1:pos:R:3 comment="SrZn4Pd, relaxed, DFT GGA-PBE" magmom_total_mub_per_atom=0.00 de_polymorph_ev_per_atom=0.028 ef_kj_per_mol_fu=-164 space_group="F-43m, No. 216" n_ef_per_ev_cell=1.38 pbc="T T T"
Sr 0.000 0.000 0.000
Zn 4.689 2.840 2.840
Zn 2.840 4.689 2.840
Zn 2.840 2.840 4.689
Zn 4.689 4.689 4.689
Pd 1.882 1.882 1.882

9
Lattice="5.490 -2.202 0.000 5.490 2.202 0.000 -1.673 0.000 8.795" Properties=species:S:1:pos:R:3 comment="Sr3Zn2Pd4, relaxed, DFT GGA-PBE" magmom_total_mub_per_atom=0.00 de_polymorph_ev_per_atom=0.000 ef_kj_per_mol_fu=-530 space_group="C2/m, No. 12" n_ef_per_ev_cell=4.23 pbc="T T T"
Sr 0.000 0.000 0.000
Sr 3.122 0.000 5.442
Sr 6.186 0.000 3.352
Zn 3.133 0.000 1.903
Zn 6.175 0.000 6.892
Pd -0.066 0.000 5.614
Pd 1.426 0.000 8.024
Pd 7.882 0.000 0.771
Pd 9.374 0.000 3.181

19
Lattice="4.657 2.689 4.429 -4.657 2.689 4.429 0.000 -5.377 4.429" Properties=species:S:1:pos:R:3 comment="Sr2Zn12Pd5, relaxed, DFT GGA-PBE" magmom_total_mub_per_atom=0.00 ef_kj_per_mol_fu=-701 space_group="R-3m, No. 166" n_ef_per_ev_cell=6.75 pbc="T T T"
Sr 0.000 0.000 2.157
Sr 0.000 0.000 11.131
Zn 0.000 -2.615 4.265
Zn -2.264 1.307 4.265
Zn -1.317 -2.281 6.644
Zn -2.634 0.000 6.644
Zn -2.264 -1.307 9.022
Zn 1.317 -2.281 6.644
Zn -1.317 2.281 6.644
Zn 2.264 1.307 4.265
Zn 2.634 0.000 6.644
Zn 1.317 2.281 6.644
Zn 2.264 -1.307 9.022
Zn 0.000 2.615 9.022
Pd -2.328 -1.344 4.429
Pd 0.000 0.000 5.272
Pd -2.328 1.344 8.858
Pd 0.000 2.689 4.429
Pd 0.000 0.000 8.015

10
Lattice="7.435 0.000 0.000 0.000 4.373 0.000 -2.194 0.000 10.780" Properties=species:S:1:pos:R:3 comment="Sr3ZnPd, relaxed, DFT GGA-PBE" magmom_total_mub_per_atom=0.00 de_polymorph_ev_per_atom=0.000 ef_kj_per_mol_fu=-167 space_group="P2_1/m, No. 11" n_ef_per_ev_cell=6.66 pbc="T T T"
Sr 1.482 1.093 0.756
Sr 0.123 3.279 8.205
Sr 0.884 1.093 4.759
Sr 4.357 3.279 6.020
Sr 5.118 1.093 2.575
Sr 3.759 3.279 10.024
Zn 2.588 3.279 3.003
Zn 2.653 1.093 7.777
Pd 0.029 3.279 2.470
Pd 5.213 1.093 8.310

14
Lattice="-2.207 4.965 6.527 2.207 -4.965 6.527 2.207 4.965 -6.527" Properties=species:S:1:pos:R:3 comment="Sr3Zn8Pd3, relaxed, DFT GGA-PBE" magmom_total_mub_per_atom=0.00 ef_kj_per_mol_fu=-534 space_group="Immm, No. 71" n_ef_per_ev_cell=5.71 pbc="T T T"
Sr 0.000 0.000 0.000
Sr 0.000 0.000 4.238
Sr 0.000 0.000 8.816
Zn 2.207 -1.473 2.324
Zn 2.207 -2.185 5.000
Zn 2.207 1.473 2.324
Zn 0.000 2.780 1.527
Zn 2.207 2.185 5.000
Zn 0.000 3.492 4.204
Zn 0.000 7.150 1.527
Zn 0.000 6.438 4.204
Pd 2.207 2.702 0.000
Pd 0.000 4.965 0.000
Pd 0.000 2.263 6.527

11
Lattice="5.302 0.000 0.000 0.000 5.302 0.000 0.000 0.000 8.652" Properties=species:S:1:pos:R:3 comment="SrZn2Pd8, relaxed, DFT GGA-PBE" magmom_total_mub_per_atom=0.00 ef_kj_per_mol_fu=37 space_group="P4/mmm, No. 123" n_ef_per_ev_cell=5.67 pbc="T T T"
Sr 0.000 0.000 0.000
Zn 0.000 2.651 4.326
Zn 2.651 0.000 4.326
Pd 1.333 1.333 2.515
Pd 1.333 1.333 6.136
Pd 1.333 3.969 2.515
Pd 1.333 3.969 6.136
Pd 3.969 1.333 2.515
Pd 3.969 1.333 6.136
Pd 3.969 3.969 2.515
Pd 3.969 3.969 6.136

Computed volume (Å³ per cell) in order:
106.7; 212.7; 332.7; 350.4; 286.0; 243.2